(1)
This record from Alexandria describes NaVPt after structural relaxation. The functional is GGA-PBE.

Values from the calculation:
- symmetry = No. 146
- energy of formation from the pure elements (eV per atom) = 0.086
- E_tot (eV/atom) = -5.41

Lattice parameters (Å, degrees): 5.548 5.548 7.061 66.87 66.87 60.00
Element x y z (fractional)
Pt1 0.177 0.177 0.469
Pt2 0.313 0.313 0.061
Pt3 0.718 0.718 0.847
V1 0.760 0.276 0.780
V2 0.184 0.760 0.780
V3 0.276 0.184 0.780
Na1 0.735 0.745 0.278
Na2 0.745 0.241 0.278
Na3 0.241 0.735 0.278

=====

(2)
This record from Alexandria describes LiPm4Tl after structural relaxation. The functional is GGA-PBE.

Values from the calculation:
- symmetry = No. 36
- energy of formation from the pure elements (eV per atom) = 0.143
- E_tot (eV/atom) = -3.74

Lattice parameters (Å, degrees): 5.482 6.706 11.454 90.00 103.85 90.00
Element x y z (fractional)
Li1 0.571 0.888 0.143
Li2 0.429 0.388 0.857
Pm1 0.864 0.273 0.728
Pm2 0.136 0.773 0.272
Pm3 0.430 0.886 0.860
Pm4 0.570 0.386 0.140
Pm5 0.717 0.542 0.434
Pm6 0.283 0.042 0.566
Pm7 0.703 0.058 0.406
Pm8 0.297 0.558 0.594
Tl1 0.851 0.787 0.702
Tl2 0.149 0.287 0.298

=====

(3)
This record from Alexandria describes TaGe3B after structural relaxation. The functional is GGA-PBE.

Values from the calculation:
- symmetry = No. 221
- energy of formation from the pure elements (eV per atom) = 0.960
- energy above the most stable polymorph in this dataset (meV per atom) = 0.0
- E_tot (eV/atom) = -5.52

Lattice parameters (Å, degrees): 4.339 4.339 4.339 90.00 90.00 90.00
Element x y z (fractional)
Ge1 0.000 0.500 0.000
Ge2 0.000 0.000 0.500
Ge3 0.500 0.000 0.000
B1 0.000 0.000 0.000
Ta1 0.500 0.500 0.500

=====

- What is the energy of formation from the pure elements in the third record?
  0.960 eV per atom

=====

- Which of these has the highest energy of formation from the pure elements?
  TaGe3B